First-principles (PBE) data for a geometry-optimized Ca2HfTlF structure, as listed in Alexandria.

abc: 4.542 5.944 4.542
angles: 90.00 90.00 90.00
Fractional coordinates of all 5 atoms:
Ca 0.000 0.000 0.500
Ca 0.500 0.000 0.000
F 0.000 0.000 0.000
Hf 0.500 0.500 0.500
Tl 0.000 0.500 0.000

Output
formation energy (no corrections): -0.799 eV/atom
density: 6527 kg/m3
SG: P4/mmm